Entry from OQMD via LeMat-Bulk: CsZr3Te5 after structural relaxation (GGA-PBE).

Structure (POSCAR):
```
CsZr3Te5
1.0
-2.177 3.586 -4.832
1.199 -6.218 -0.918
-8.092 -1.892 2.242
Zr Te Cs
3 5 1
direct
0.500 0.500 0.500
0.000 0.500 0.500
0.500 0.000 0.500
0.667 0.333 0.763
0.333 0.667 0.763
0.000 0.000 0.500
0.667 0.333 0.237
0.333 0.667 0.237
0.000 0.000 0.000
```

Properties
Uncorrected energy in eV/atom: -5.631
Crystal system: hexagonal
M_tot in μB/cell: 0.01
Mass density in g/cm³: 5.68
Space group: P6/mmm, No. 191

Entry from OQMD via LeMat-Bulk: Ho2Sn2O7 after structural relaxation (GGA-PBE).

Structure (POSCAR):
```
Ho2Sn2O7
1.0
-7.211 0.984 -0.927
2.459 -4.055 5.598
0.989 7.269 0.023
Sn O Ho
4 14 4
direct
0.500 0.500 0.000
0.500 0.500 0.500
0.500 0.000 0.000
0.000 0.000 0.000
0.159 0.819 0.909
0.409 0.750 0.659
0.409 0.750 0.091
0.159 0.250 0.909
0.409 0.319 0.659
0.841 0.181 0.091
0.591 0.681 0.341
0.841 0.750 0.091
0.125 0.750 0.375
0.591 0.250 0.341
0.841 0.750 0.659
0.159 0.250 0.341
0.591 0.250 0.909
0.875 0.250 0.625
0.000 0.000 0.500
0.000 0.500 0.500
0.000 0.500 0.000
0.500 0.000 0.500
```

Properties
Uncorrected energy in eV/atom: -7.297
Crystal system: cubic
M_tot in μB/cell: 0.00
Mass density in g/cm³: 8.08
Space group: Fd-3m, No. 227

Entry from OQMD via LeMat-Bulk: TbDyC2 after structural relaxation (GGA-PBE).

Structure (POSCAR):
```
TbDyC2
1.0
3.913 0.000 0.000
0.000 2.837 3.372
0.000 -2.837 3.372
Tb Dy C
1 1 2
direct
0.500 0.381 0.381
0.000 0.939 0.939
0.500 0.610 0.854
0.500 0.854 0.610
```

Properties
Uncorrected energy in eV/atom: -6.901
Crystal system: orthorhombic
M_tot in μB/cell: 0.00
Mass density in g/cm³: 7.66
Space group: Amm2, No. 38

Entry from OQMD via LeMat-Bulk: U2Al9Co3 after structural relaxation (GGA-PBE).

Structure (POSCAR):
```
U2Al9Co3
1.0
0.294 7.377 -0.746
5.397 -4.152 -2.948
-4.758 -0.605 -7.858
Co Al U
6 18 4
direct
0.672 0.328 0.000
0.328 0.672 0.000
0.328 0.672 0.500
0.672 0.328 0.500
0.000 0.000 0.500
0.000 0.000 0.000
0.666 0.666 0.453
0.555 0.341 0.250
0.663 0.000 0.572
0.000 0.663 0.928
0.337 0.000 0.428
0.337 0.000 0.072
0.127 0.127 0.250
0.445 0.659 0.750
0.000 0.663 0.572
0.873 0.873 0.750
0.334 0.334 0.953
0.666 0.666 0.047
0.341 0.555 0.250
0.659 0.445 0.750
0.000 0.337 0.428
0.663 0.000 0.928
0.000 0.337 0.072
0.334 0.334 0.547
0.674 0.995 0.250
0.005 0.326 0.750
0.995 0.674 0.250
0.326 0.005 0.750
```

Properties
Uncorrected energy in eV/atom: -5.870
Crystal system: orthorhombic
M_tot in μB/cell: 8.57
Mass density in g/cm³: 6.72
Space group: Cmcm, No. 63

Entry from OQMD via LeMat-Bulk: CoTe4Pt after structural relaxation (GGA-PBE).

Structure (POSCAR):
```
CoTe4Pt
1.0
5.368 0.000 0.000
0.000 3.947 0.000
-0.035 0.000 6.889
Te Pt Co
4 1 1
direct
0.249 0.000 0.317
0.751 0.000 0.683
0.241 0.500 0.849
0.759 0.500 0.151
0.000 0.500 0.500
0.000 0.000 0.000
```

Properties
Uncorrected energy in eV/atom: -4.590
Crystal system: monoclinic
M_tot in μB/cell: 0.00
Mass density in g/cm³: 8.70
Space group: P2/m, No. 10

Entry from OQMD via LeMat-Bulk: ZnTe after structural relaxation (GGA-PBE).

Structure (POSCAR):
```
ZnTe
1.0
5.995 0.000 0.000
0.000 8.642 0.000
0.000 0.000 5.590
Te Zn
6 6
direct
0.510 0.976 0.500
0.467 0.291 0.000
0.010 0.191 0.500
0.786 0.534 0.500
0.286 0.632 0.500
0.967 0.876 0.000
0.359 0.618 0.000
0.447 0.936 0.000
0.946 0.230 0.000
0.932 0.863 0.500
0.859 0.549 0.000
0.432 0.303 0.500
```

Properties
Uncorrected energy in eV/atom: -2.227
Crystal system: orthorhombic
Mass density in g/cm³: 6.64
Space group: Pmc2_1, No. 26

Entry from OQMD via LeMat-Bulk: Li2Sc2SnPd2Pb after structural relaxation (GGA-PBE).

Structure (POSCAR):
```
Li2Sc2SnPd2Pb
1.0
-3.089 3.166 1.438
-3.477 -2.774 -1.360
-0.096 -2.799 5.956
Sc Li Pd Sn Pb
2 2 2 1 1
direct
0.500 0.500 0.000
0.000 0.000 0.500
0.000 0.500 0.747
0.500 0.000 0.253
0.500 0.000 0.741
0.000 0.500 0.259
0.500 0.500 0.500
0.000 0.000 0.000
```

Properties
Uncorrected energy in eV/atom: -5.019
Crystal system: tetragonal
M_tot in μB/cell: 0.00
Mass density in g/cm³: 7.49
Space group: P-4m2, No. 115

Entry from OQMD via LeMat-Bulk: HoErAl2Ir4 after structural relaxation (GGA-PBE).

Structure (POSCAR):
```
HoErAl2Ir4
1.0
-3.818 -1.154 -1.574
3.101 -2.926 0.464
-2.932 -1.774 8.411
Al Ho Ir Er
2 1 4 1
direct
0.667 0.333 0.750
0.667 0.333 0.250
0.333 0.667 0.500
0.000 0.000 0.334
0.333 0.667 0.164
0.333 0.667 0.836
0.000 0.000 0.666
0.000 0.000 0.000
```

Properties
Uncorrected energy in eV/atom: -7.233
Crystal system: hexagonal
M_tot in μB/cell: 0.04
Mass density in g/cm³: 13.26
Space group: P-6m2, No. 187

Entry from OQMD via LeMat-Bulk: SrHoB4 after structural relaxation (GGA-PBE).

Structure (POSCAR):
```
SrHoB4
1.0
-1.605 2.972 4.091
1.605 -2.972 4.091
1.605 2.972 -4.091
B Ho Sr
4 1 1
direct
0.561 0.243 0.318
0.439 0.757 0.682
0.926 0.243 0.682
0.074 0.757 0.318
0.500 0.500 0.000
0.000 0.000 0.000
```

Properties
Uncorrected energy in eV/atom: -5.613
Crystal system: orthorhombic
M_tot in μB/cell: 0.00
Mass density in g/cm³: 6.29
Space group: Immm, No. 71

Entry from OQMD via LeMat-Bulk: Cu2SiGe after structural relaxation (GGA-PBE).

Structure (POSCAR):
```
Cu2SiGe
1.0
6.149 0.000 0.000
0.000 6.149 0.000
0.000 0.000 6.149
Cu Ge Si
8 4 4
direct
0.266 0.266 0.734
0.734 0.266 0.734
0.266 0.734 0.266
0.734 0.266 0.266
0.266 0.734 0.734
0.734 0.734 0.266
0.734 0.734 0.734
0.266 0.266 0.266
0.000 0.000 0.500
0.500 0.000 0.000
0.000 0.000 0.000
0.000 0.500 0.000
0.000 0.500 0.500
0.500 0.500 0.500
0.500 0.000 0.500
0.500 0.500 0.000
```

Properties
Uncorrected energy in eV/atom: -4.122
Crystal system: cubic
Mass density in g/cm³: 6.51
Space group: Pm-3m, No. 221

Entry from OQMD via LeMat-Bulk: Na2ZnWS4 after structural relaxation (GGA-PBE).

Structure (POSCAR):
```
Na2ZnWS4
1.0
4.497 -4.808 0.000
4.497 4.808 0.000
-4.496 0.000 4.500
Zn S W Na
1 4 1 2
direct
0.014 0.986 0.500
0.951 0.672 0.055
0.632 0.854 0.432
0.328 0.049 0.945
0.146 0.368 0.568
0.264 0.736 0.000
0.764 0.236 0.000
0.515 0.485 0.500
```

Properties
Uncorrected energy in eV/atom: -4.829
Crystal system: monoclinic
M_tot in μB/cell: 1.88
Mass density in g/cm³: 3.61
Space group: C2, No. 5

Entry from OQMD via LeMat-Bulk: GdTmTh after structural relaxation (GGA-PBE).

Structure (POSCAR):
```
GdTmTh
1.0
5.219 -1.348 -0.120
2.029 -3.263 3.782
1.456 -5.031 -1.279
Gd Tm Th
1 1 1
direct
0.250 0.250 0.250
0.000 0.000 0.000
0.750 0.750 0.750
```

Properties
Crystal system: cubic
M_tot in μB/cell: 0.03
Mass density in g/cm³: 8.37
Space group: F-43m, No. 216
Energy of formation in eV/atom: 0.784